La2ThCr2C4 | PBE | relaxed

```
La2ThCr2C4
1.0
-2.897 1.955 0.707
-2.557 -6.316 -2.004
1.350 -0.209 6.110
La Th Cr C
2 1 2 4
direct
0.864 0.728 0.456
0.136 0.272 0.544
0.000 0.000 0.000
0.685 0.370 0.000
0.315 0.630 0.000
0.557 0.115 0.772
0.213 0.426 0.159
0.787 0.574 0.841
0.443 0.885 0.228
```

- energy relative to the elements (meV per atom) = -70
- size of the total moment (μB per formula unit) = 0.0
- calculated volume (Å³/atom) = 16.07

---

La2TmCr2C4 | PBE | relaxed

```
La2TmCr2C4
1.0
-1.234 -1.377 -2.956
6.821 -0.380 -0.613
-1.918 -4.975 3.119
La C Tm Cr
2 4 1 2
direct
0.131 0.263 0.537
0.869 0.737 0.463
0.448 0.897 0.223
0.552 0.103 0.777
0.212 0.425 0.164
0.788 0.575 0.836
0.000 0.000 0.000
0.320 0.639 0.999
0.680 0.361 0.001
```

- energy relative to the elements (meV per atom) = -151
- size of the total moment (μB per formula unit) = 0.0
- calculated volume (Å³/atom) = 15.04

---

LaU2CrC4 | PBE | relaxed

```
LaU2CrC4
1.0
-1.792 0.866 3.004
-0.268 -6.009 -0.589
9.926 -1.053 6.223
La C Cr U
2 8 2 4
direct
0.892 0.785 0.250
0.108 0.215 0.750
0.588 0.176 0.250
0.000 0.000 0.000
0.412 0.824 0.750
0.000 0.000 0.500
0.748 0.497 0.619
0.252 0.503 0.381
0.252 0.503 0.119
0.748 0.497 0.881
0.157 0.313 0.250
0.843 0.687 0.750
0.371 0.741 0.548
0.629 0.259 0.452
0.629 0.259 0.048
0.371 0.741 0.952
```

- energy relative to the elements (meV per atom) = -73
- size of the total moment (μB per formula unit) = 2.1
- calculated volume (Å³/atom) = 15.28

---

La2VCrC | PBE | relaxed

```
La2VCrC
1.0
5.229 0.000 0.000
0.000 4.201 0.000
0.000 0.000 5.229
La C Cr V
2 1 1 1
direct
0.000 0.000 0.500
0.500 0.000 0.000
0.500 0.500 0.500
0.000 0.000 0.000
0.000 0.500 0.000
```

- energy relative to the elements (meV per atom) = 1321
- size of the total moment (μB per formula unit) = 1.2
- calculated volume (Å³/atom) = 22.97